Record 1
First-principles (PBE-GGA) data for crystalline K2NiBi at its relaxed geometry, as listed in Alexandria.

a = 12.7411 Å, b = 12.7411 Å, c = 9.3326 Å
α = 46.95°, β = 46.95°, γ = 90.00°
Fractional coordinates of all 8 atoms:
1 K 0.3750 0.6009 0.7500
2 Bi 0.7500 0.2500 0.5000
3 K 0.3991 0.1250 0.2500
4 Ni 0.2500 0.7500 0.5000
5 Ni 0.5000 0.5000 0.0000
6 K 0.8750 0.6491 0.7500
7 K 0.3509 0.6250 0.2500
8 Bi 0.0000 0.0000 0.0000

Computed properties:
size of the total moment = 0.00 μB per formula unit
space-group type = I-42d, No. 122
ΔE to the lowest computed polymorph = 0 meV per atom

=====

Record 2
First-principles (PBE-GGA) data for crystalline MgP4 at its relaxed geometry, as listed in Alexandria.

a = 5.1916 Å, b = 5.1916 Å, c = 5.1916 Å
α = 125.81°, β = 125.81°, γ = 80.20°
Fractional coordinates of all 5 atoms:
1 Mg 0.0000 0.0000 0.0000
2 P 0.2500 0.7500 0.5000
3 P 0.6817 0.6817 0.0000
4 P 0.3183 0.3183 0.0000
5 P 0.7500 0.2500 0.5000

Computed properties:
size of the total moment = 0.00 μB per formula unit
space-group type = I4/mmm, No. 139
VASP energy = -22.3 eV per cell

=====

Record 3
First-principles (PBE-GGA) data for crystalline CsNaLi2As at its relaxed geometry, as listed in Alexandria.

a = 5.2150 Å, b = 5.2150 Å, c = 5.8379 Å
α = 90.00°, β = 90.00°, γ = 90.00°
Fractional coordinates of all 5 atoms:
1 As 0.0000 0.0000 0.0000
2 Li 0.0000 0.5000 0.0000
3 Li 0.5000 0.0000 0.0000
4 Na 0.0000 0.0000 0.5000
5 Cs 0.5000 0.5000 0.5000

Computed properties:
size of the total moment = 0.00 μB per formula unit
space-group type = P4/mmm, No. 123
VASP energy = -12.1 eV per cell

=====

Record 4
First-principles (PBE-GGA) data for crystalline TmU2CrC4 at its relaxed geometry, as listed in Alexandria.

a = 3.5262 Å, b = 5.8007 Å, c = 11.6554 Å
α = 90.00°, β = 90.00°, γ = 107.69°
Fractional coordinates of all 16 atoms:
1 C 0.4290 0.8579 0.7500
2 Tm 0.8828 0.7657 0.2500
3 U 0.3695 0.7389 0.5484
4 U 0.3695 0.7389 0.9516
5 Tm 0.1172 0.2343 0.7500
6 C 0.0000 0.0000 0.5000
7 Cr 0.1495 0.2990 0.2500
8 C 0.5710 0.1421 0.2500
9 Cr 0.8505 0.7010 0.7500
10 C 0.7380 0.4760 0.6265
11 U 0.6305 0.2611 0.4516
12 C 0.2620 0.5240 0.1265
13 C 0.0000 0.0000 0.0000
14 C 0.7380 0.4760 0.8735
15 U 0.6305 0.2611 0.0484
16 C 0.2620 0.5240 0.3735

Computed properties:
size of the total moment = 0.00 μB per formula unit
space-group type = Cmcm, No. 63
VASP energy = -148.0 eV per cell

=====

Record 5
First-principles (PBE-GGA) data for crystalline LiEuGdGa at its relaxed geometry, as listed in Alexandria.

a = 5.2698 Å, b = 5.2698 Å, c = 5.2698 Å
α = 60.00°, β = 60.00°, γ = 60.00°
Fractional coordinates of all 4 atoms:
1 Eu 0.7500 0.7500 0.7500
2 Li 0.5000 0.5000 0.5000
3 Ga 0.0000 0.0000 0.0000
4 Gd 0.2500 0.2500 0.2500

Computed properties:
size of the total moment = 0.30 μB per formula unit
space-group type = F-43m, No. 216
VASP energy = -30.3 eV per cell

=====

Record 6
First-principles (PBE-GGA) data for crystalline SiBiI3 at its relaxed geometry, as listed in Alexandria.

a = 6.1651 Å, b = 6.1651 Å, c = 6.1651 Å
α = 90.00°, β = 90.00°, γ = 90.00°
Fractional coordinates of all 5 atoms:
1 I 0.5000 0.0000 0.0000
2 I 0.0000 0.0000 0.5000
3 I 0.0000 0.5000 0.0000
4 Bi 0.0000 0.0000 0.0000
5 Si 0.5000 0.5000 0.5000

Computed properties:
E_form (uncorrected) = 0.551 eV/atom
size of the total moment = 1.67 μB per formula unit
space-group type = Pm-3m, No. 221
ΔE to the lowest computed polymorph = 243 meV per atom